# 1
OsNO2F: optimized geometry, PBE-GGA.

The structure in extended XYZ format:
```
5
Lattice="-2.138 -2.921 1.094 3.110 -2.102 0.464 0.233 1.083 3.348" Properties=species:S:1:pos:R:3 pbc="T T T"
N 0.000 0.000 0.000
Os 0.603 -1.970 2.453
O 1.555 -1.051 0.232
O -1.069 -1.461 0.547
F 0.117 0.542 1.674
```

Output
Formation energy without anion corrections (meV per atom): 1625.5

=====

# 2
NaTlBi3: optimized geometry, PBE-GGA.

The structure in extended XYZ format:
```
20
Lattice="-2.635 -5.947 4.528 0.028 -5.003 -6.554 9.945 -2.766 2.154" Properties=species:S:1:pos:R:3 pbc="T T T"
Na 4.614 -5.731 -2.849
Na 9.011 -5.877 2.468
Na 2.724 -7.985 2.977
Na -1.674 -7.839 -2.340
Tl 4.153 -3.955 1.557
Tl 3.184 -9.762 -1.429
Tl -2.131 -6.619 1.337
Tl 9.469 -7.097 -1.209
Bi 0.786 -5.138 2.490
Bi 7.082 -4.665 -0.161
Bi 2.134 -6.431 -0.268
Bi 1.535 -0.427 0.332
Bi 5.204 -7.285 0.396
Bi 6.551 -8.579 -2.362
Bi 1.507 -7.176 -3.455
Bi 5.831 -6.541 3.583
Bi 0.255 -9.051 0.289
Bi 5.803 -13.289 -0.204
Bi 5.156 -10.414 1.350
Bi 2.182 -3.302 -1.223
```

Output
Polymorph energy (0 for the lowest one) (eV per atom): 0.0120

=====

# 3
CeCoNiAs2: optimized geometry, PBE-GGA.

The structure in extended XYZ format:
```
5
Lattice="4.048 0.000 0.000 0.000 4.048 0.000 -2.024 -2.024 5.049" Properties=species:S:1:pos:R:3 pbc="T T T"
Ce 0.000 0.000 0.000
Co 0.000 2.024 2.524
Ni 2.024 0.000 2.524
As 2.024 2.024 1.325
As 0.000 0.000 3.723
```

=====

# 4
AcPrHg4: optimized geometry, PBE-GGA.

The structure in extended XYZ format:
```
6
Lattice="6.150 0.000 0.000 3.075 5.326 0.000 3.075 1.775 5.022" Properties=species:S:1:pos:R:3 pbc="T T T"
Pr 0.000 0.000 0.000
Ac 3.075 1.775 1.255
Hg 6.150 3.551 0.621
Hg 6.150 1.769 3.141
Hg 7.693 4.442 3.141
Hg 4.608 4.442 3.141
```

Output
Polymorph energy (0 for the lowest one) (eV per atom): 0.1276

=====

# 5
Ho8Er2Pb: optimized geometry, PBE-GGA.

The structure in extended XYZ format:
```
11
Lattice="5.522 0.000 0.000 0.000 6.250 1.322 -2.761 -1.133 9.595" Properties=species:S:1:pos:R:3 pbc="T T T"
Ho 0.000 2.779 8.864
Ho 2.761 5.107 4.298
Ho 2.761 4.223 7.687
Ho 2.761 0.662 9.084
Ho 0.000 0.894 3.230
Ho 0.000 0.010 6.619
Ho 2.761 2.338 2.053
Ho 0.000 4.456 1.833
Er 2.761 1.526 5.363
Er 0.000 3.591 5.554
Pb 2.761 0.000 0.000
```

=====

# 6
In12Ga5Pb3: optimized geometry, PBE-GGA.

The structure in extended XYZ format:
```
80
Lattice="-5.292 2.559 -13.514 7.564 -12.648 0.000 -11.181 -0.962 9.553" Properties=species:S:1:pos:R:3 pbc="T T T"
Pb -2.530 -2.944 -8.941
Pb -0.355 -7.367 -10.631
Pb -3.300 -9.128 0.903
Pb -4.570 -1.302 0.204
Pb -6.480 0.417 -9.437
Pb -0.052 -7.186 -2.679
Pb -8.856 -3.865 -1.282
Pb -2.429 -11.469 5.476
Pb -4.339 -9.749 -4.165
Pb -5.609 -1.924 -4.864
Pb -8.554 -3.684 6.670
Pb -6.379 -8.107 4.980
Ga -0.620 -4.664 0.699
Ga 3.782 -6.324 0.000
Ga 0.000 0.000 0.000
Ga -1.491 -2.323 -3.874
Ga -8.236 0.798 -1.981
Ga 1.136 -5.045 -6.757
Ga 0.819 -9.527 1.893
Ga -12.806 -0.504 -1.777
Ga -3.434 -6.347 -6.553
Ga -9.424 -1.343 2.097
Ga 0.516 -9.708 -6.058
Ga -4.454 -5.526 -1.981
Ga -2.646 1.279 -6.757
Ga -5.590 -0.481 4.776
Ga -5.474 -4.705 2.592
Ga 3.898 -10.548 -2.184
Ga -1.808 -6.805 4.777
Ga -9.727 -1.524 -5.854
Ga -7.418 -8.729 -0.087
Ga -8.288 -6.388 -4.660
In -3.372 0.250 -9.256
In -2.346 -6.458 -0.394
In -5.363 -2.613 -10.201
In -2.606 -1.462 -6.199
In -5.239 -8.187 -1.621
In -2.611 -5.019 -11.268
In -0.342 -9.459 -0.565
In 5.078 -11.369 0.123
In -3.339 -11.252 -1.380
In -1.213 -5.855 -8.043
In -4.932 -4.117 -6.974
In 2.098 -9.599 -10.765
In -1.316 -9.276 3.559
In 0.138 -4.474 -4.206
In 2.251 -11.796 2.333
In -7.674 -1.058 0.036
In -1.624 -2.138 0.788
In 1.812 -7.406 -5.416
In -0.705 -9.603 -8.485
In 1.560 -4.888 -0.910
In -3.536 -11.867 2.373
In -2.881 -6.777 -3.926
In -4.711 -8.638 -7.270
In -11.784 -3.018 -1.940
In -6.028 -4.274 -0.035
In -4.198 -2.413 3.309
In 2.875 -8.034 -2.021
In -8.203 -1.449 4.524
In -5.373 0.816 -6.334
In -10.469 -6.164 -3.051
In -10.720 -3.645 1.455
In -1.235 -9.993 -3.997
In -7.285 -8.913 -4.749
In -11.160 0.745 -6.294
In -7.593 -1.776 -7.520
In -11.007 -1.453 6.804
In -9.047 -6.577 0.245
In -5.570 0.200 -2.582
In -7.695 -5.196 4.082
In -3.977 -6.935 3.013
In -13.987 0.318 -4.084
In -8.567 -1.592 -3.396
In -6.302 -9.589 2.238
In -6.297 -6.033 7.307
In -3.670 -2.864 -2.340
In -3.546 -8.439 6.240
In -6.563 -4.594 -3.567
In -5.537 -11.302 5.295
```

=====

# 7
Ba2AsBr: optimized geometry, PBE-GGA.

The structure in extended XYZ format:
```
4
Lattice="3.368 -0.498 4.632 -1.640 -3.310 4.404 2.731 -4.948 1.049" Properties=species:S:1:pos:R:3 pbc="T T T"
As 0.000 0.000 0.000
Ba 1.115 -2.189 2.521
Ba 3.344 -6.567 7.563
Br 2.229 -4.378 5.042
```

Output
Formation energy without anion corrections (meV per atom): -1449.2

=====

Volume (Å³/f.u.)
50.4, 172.3, 82.7, 164.5, 339.4, 616.0, 134.3
E_tot (eV/atom)
-4.64, -3.15, -6.36, -2.00, -4.55, -2.80, -3.99